*P*
First-principles (PBE-GGA) data for a relaxed Tl8Hg3 crystal, as listed in Alexandria.

## Properties
Magnetization = 0.00 μB/atom
Calculated volume = 29.39 A^3/atom

a = 11.3124 Å, b = 4.6960 Å, c = 12.5972 Å
α = 90.00°, β = 104.97°, γ = 90.00°
Closest atoms and distances in Å follow each position.
Space group C2/m (No. 12)
Unique sites:
1 Tl 0.0463 0.0000 0.3171 (multiplicity 4)  4 Hg 3.39-3.42, 8 Tl 3.47-3.55
2 Tl 0.1314 0.0000 0.9574 (multiplicity 4)  5 Hg 3.37-3.61, 7 Tl 3.41-3.52
3 Tl 0.1829 0.5000 0.7763 (multiplicity 4)  4 Hg 3.41-3.56, 8 Tl 3.43-3.55
4 Tl 0.2231 0.0000 0.5894 (multiplicity 4)  8 Tl 3.42-3.54, 4 Hg 3.42-3.59
5 Hg 0.0000 0.5000 0.5000 (multiplicity 2)  12 Tl 3.42-3.59
6 Hg 0.0937 0.5000 0.1383 (multiplicity 4)  11 Tl 3.37-3.61, 1 Hg 3.58

***

*Q*
First-principles (PBE-GGA) data for a relaxed Tl8Hg3 crystal, as listed in Alexandria.

## Properties
Magnetization = 0.00 μB/atom
Calculated volume = 33.05 A^3/atom

a = 10.1962 Å, b = 10.1962 Å, c = 12.1139 Å
α = 90.00°, β = 90.00°, γ = 120.00°
Closest atoms and distances in Å follow each position.
Space group R-3 (No. 148, hexagonal axes)
Unique sites:
1 Tl 0.0000 0.0000 0.1331 (multiplicity 6)  3 Hg 2.97, 1 Tl 3.22
2 Tl 0.0024 0.2103 0.3892 (multiplicity 18)  2 Hg 3.11-3.26, 3 Tl 3.31-3.43
3 Hg 0.0000 0.5000 0.5000 (multiplicity 9)  6 Tl 2.97-3.26

***

Computed energies relative to the best structure, in eV/atom: *P* 0.000; *Q* 0.066

***

*P*
First-principles (PBE-GGA) data for a relaxed Tm3TlHg crystal, as listed in Alexandria.

## Properties
Magnetization = 0.00 μB/atom
Calculated volume = 28.51 A^3/atom

a = 11.3025 Å, b = 6.7556 Å, c = 15.5151 Å
α = 90.00°, β = 105.69°, γ = 90.00°
Closest atoms and distances in Å follow each position.
Space group C2/c (No. 15)
Unique sites:
1 Tm 0.0180 0.2256 0.0588 (multiplicity 8)  2 Hg 3.00-3.03, 2 Tl 3.21-3.22
2 Tm 0.1816 0.0792 0.8148 (multiplicity 8)  2 Hg 3.00-3.04, 3 Tl 3.15-3.34
3 Tm 0.2352 0.3963 0.3887 (multiplicity 8)  2 Hg 2.93-3.08, 1 Tl 3.12
4 Tl 0.0497 0.3450 0.6501 (multiplicity 8)  6 Tm 3.12-3.34, 1 Hg 3.24
5 Hg 0.0000 0.2553 0.2500 (multiplicity 4)  6 Tm 3.03-3.08, 2 Tl 3.24
6 Hg 0.2500 0.2500 0.0000 (multiplicity 4)  6 Tm 2.93-3.00

***

*Q*
First-principles (PBE-GGA) data for a relaxed Tm3TlHg crystal, as listed in Alexandria.

## Properties
Magnetization = 0.03 μB/atom
Calculated volume = 26.83 A^3/atom

a = 5.0704 Å, b = 20.8595 Å, c = 5.0726 Å
α = 90.00°, β = 90.00°, γ = 90.00°
Closest atoms and distances in Å follow each position.
Space group Cmcm (No. 63)
Unique sites:
1 Tm 0.0000 0.0581 0.2500 (multiplicity 4)  2 Hg 3.22, 2 Tl 3.25, 8 Tm 3.51-3.59
2 Tm 0.0000 0.2498 0.2500 (multiplicity 4)  4 Tl 3.21, 4 Hg 3.24, 4 Tm 3.59
3 Tm 0.0000 0.4419 0.2500 (multiplicity 4)  2 Hg 3.22, 2 Tl 3.25, 8 Tm 3.51-3.59
4 Tl 0.0000 0.1554 0.7500 (multiplicity 4)  8 Tm 3.21-3.25, 4 Hg 3.59
5 Hg 0.0000 0.3468 0.7500 (multiplicity 4)  8 Tm 3.22-3.24, 4 Tl 3.59

***

Computed energies relative to the best structure, in eV/atom: *P* 0.148; *Q* 0.000

***

*P*
First-principles (PBE-GGA) data for a relaxed Tl2VHg2 crystal, as listed in Alexandria.

## Properties
Magnetization = 0.74 μB/atom
Calculated volume = 27.75 A^3/atom

a = 4.2165 Å, b = 4.2165 Å, c = 15.6090 Å
α = 90.00°, β = 90.00°, γ = 90.00°
Closest atoms and distances in Å follow each position.
Space group I4/mmm (No. 139)
Unique sites:
1 Tl 0.0000 0.5000 0.2500 (multiplicity 4)  4 Tl 2.98, 4 Hg 3.27
2 V 0.0000 0.0000 0.0000 (multiplicity 2)  8 Hg 3.29
3 Hg 0.0000 0.0000 0.4105 (multiplicity 4)  1 Hg 2.79

***

*Q*
First-principles (PBE-GGA) data for a relaxed Tl2VHg2 crystal, as listed in Alexandria.

## Properties
Magnetization = 0.71 μB/atom
Calculated volume = 26.83 A^3/atom

a = 7.3964 Å, b = 7.3964 Å, c = 4.9051 Å
α = 90.00°, β = 90.00°, γ = 90.00°
Closest atoms and distances in Å follow each position.
Space group P4/mbm (No. 127)
Unique sites:
1 Tl 0.1744 0.3256 0.0000 (multiplicity 4)  6 Hg 3.10-3.41
2 V 0.0000 0.0000 0.5000 (multiplicity 2)  4 Hg 2.84
3 Hg 0.1442 0.6442 0.5000 (multiplicity 4)  2 V 2.84, 1 Hg 3.02, 2 Tl 3.10

***

Computed energies relative to the best structure, in eV/atom: *P* 0.180; *Q* 0.000

***

*P*
First-principles (PBE-GGA) data for a relaxed Tl2VHg crystal, as listed in Alexandria.

## Properties
Magnetization = 0.82 μB/atom
Calculated volume = 25.90 A^3/atom

a = 8.2641 Å, b = 8.2641 Å, c = 6.0679 Å
α = 90.00°, β = 90.00°, γ = 90.00°
Closest atoms and distances in Å follow each position.
Space group I-42d (No. 122)
Unique sites:
1 Tl 0.2216 0.2500 0.1250 (multiplicity 8)  2 V 2.86, 2 Tl 3.07, 2 Hg 3.18
2 V 0.0000 0.0000 0.0000 (multiplicity 4)  4 Tl 2.86, 2 Hg 3.03
3 Hg 0.0000 0.0000 0.5000 (multiplicity 4)  2 V 3.03, 4 Tl 3.18

***

*Q*
First-principles (PBE-GGA) data for a relaxed Tl2VHg crystal, as listed in Alexandria.

## Properties
Magnetization = 0.87 μB/atom
Calculated volume = 24.10 A^3/atom

a = 7.2790 Å, b = 7.2790 Å, c = 7.2790 Å
α = 90.00°, β = 90.00°, γ = 90.00°
Closest atoms and distances in Å follow each position.
Space group Fm-3m (No. 225)
Unique sites:
1 Tl 0.2500 0.2500 0.2500 (multiplicity 8)  4 V 3.15, 4 Hg 3.15
2 V 0.0000 0.0000 0.0000 (multiplicity 4)  8 Tl 3.15
3 Hg 0.0000 0.0000 0.5000 (multiplicity 4)  8 Tl 3.15

***

Computed energies relative to the best structure, in eV/atom: *P* 0.039; *Q* 0.000